No. 1
{"formula": "Nd5Bi3", "functional": "PBE", "state": "relaxed", "dft_energy_ev_per_atom": -5.2877, "lattice": [[9.4978, 0.0000, 0.0000], [-4.7489, 8.2254, 0.0000], [0.0000, 0.0000, 6.5805]], "species": ["Bi", "Bi", "Bi", "Bi", "Bi", "Bi", "Nd", "Nd", "Nd", "Nd", "Nd", "Nd", "Nd", "Nd", "Nd", "Nd"], "frac_coords": [[0.3874, 0.0000, 0.2500], [0.0000, 0.3874, 0.2500], [0.6126, 0.6126, 0.2500], [0.6126, 0.0000, 0.7500], [0.3874, 0.3874, 0.7500], [0.0000, 0.6126, 0.7500], [0.6667, 0.3333, 0.0000], [0.3333, 0.6667, 0.0000], [0.7530, 0.0000, 0.2500], [0.2470, 0.2470, 0.2500], [0.0000, 0.7530, 0.2500], [0.6667, 0.3333, 0.5000], [0.3333, 0.6667, 0.5000], [0.2470, 0.0000, 0.7500], [0.0000, 0.2470, 0.7500], [0.7530, 0.7530, 0.7500]]}

***

No. 2
{"formula": "Sc2Ga2NiPt3", "functional": "PBE", "state": "relaxed", "dft_energy_ev_per_atom": -6.2333, "lattice": [[4.2631, 0.0000, 0.0000], [-2.1316, 3.6920, 0.0000], [0.0000, 0.0000, 8.5273]], "species": ["Ga", "Ga", "Ni", "Pt", "Pt", "Pt", "Sc", "Sc"], "frac_coords": [[0.6667, 0.3333, 0.5015], [0.6667, 0.3333, 0.9937], [0.3333, 0.6667, 0.9168], [0.0000, 0.0000, 0.0780], [0.0000, 0.0000, 0.4086], [0.3333, 0.6667, 0.6032], [0.3333, 0.6667, 0.2451], [0.0000, 0.0000, 0.7531]]}